This record from the Alexandria database describes an optimized crystal structure of Te2Pb4SeCl. The functional is PBE.

Summary:
E_tot = -0.2776 Ry per atom
energy relative to the elements, uncorrected = -470 meV per atom
V = 261.3 Å³/f.u.
symmetry = P2/m (10)
total moment = 0.0 μB/f.u.

Cell lengths 4.454, 7.415, 8.348 Å; angles 71.36, 90.00, 90.00 degrees
Fractional positions:
1 Te 0.500 0.000 0.500
2 Te 0.000 0.000 0.000
3 Pb 0.000 0.260 0.254
4 Se 0.000 0.500 0.500
5 Pb 0.500 0.735 0.259
6 Pb 0.000 0.740 0.746
7 Pb 0.500 0.265 0.741
8 Cl 0.500 0.500 0.000